[1]
! Ti7AlBi2H2 PBE optimized geometry; values from VASP
! * final energy: -6.428 eV/atom
! * N(E_F): 9.3 states/eV per cell
! * symmetry: C2/m
&SYSTEM
  ibrav = 0, nat = 12, ntyp = 4
/
ATOMIC_SPECIES
Ti 47.87 Ti.upf
Al 26.98 Al.upf
Bi 208.98 Bi.upf
H 1.01 H.upf
CELL_PARAMETERS angstrom
-0.165 -2.486 -3.173
-2.743 -2.264 1.902
-10.294 3.622 -5.388
ATOMIC_POSITIONS angstrom
Ti -1.454 -2.375 -0.635
Ti -4.880 0.275 -2.491
Ti -8.322 -1.403 -4.167
Ti -3.010 -2.502 -3.027
Ti -4.306 -2.391 -0.476
Ti -8.896 1.264 -6.182
Ti -10.192 1.375 -3.631
Al 0.000 0.000 0.000
Bi -5.966 -2.420 -2.926
Bi -7.236 1.293 -3.733
H -10.320 0.175 -5.251
H -2.882 -1.302 -1.407

[2]
! AcCd2Pd2 PBE optimized geometry; values from VASP
! * E above lowest polymorph: 0.000 eV/atom
! * final energy: -3.832 eV/atom
! * N(E_F): 2.9 states/eV per cell
! * energy of formation: -567 meV/atom
! * symmetry: P4/mmm
&SYSTEM
  ibrav = 0, nat = 5, ntyp = 3
/
ATOMIC_SPECIES
Ac 227.00 Ac.upf
Cd 112.41 Cd.upf
Pd 106.42 Pd.upf
CELL_PARAMETERS angstrom
4.239 0.000 0.000
0.000 4.239 0.000
0.000 0.000 6.517
ATOMIC_POSITIONS angstrom
Ac 0.000 0.000 0.000
Cd 2.119 0.000 3.259
Cd 0.000 2.119 3.259
Pd 2.119 2.119 5.153
Pd 2.119 2.119 1.364

Number 1: magnetic moment 0.00 μB/cell, volume 190 Å³ per cell. Number 2: magnetic moment 0.00 μB/cell, volume 117 Å³ per cell.